KIrRu | PBE-GGA | optimized geometry

Results
**Crystal system**: hexagonal
**E**: -5.67 eV per atom

CIF file:
```
data_KIrRu
_chemical_formula_sum 'K2 Ir2 Ru2'
_space_group_name_H-M_alt 'P -6 m 2'
_space_group_IT_number 187
_space_group_name_Hall 'P -6 2'
_cell_length_a 3.9905
_cell_length_b 3.9905
_cell_length_c 11.3615
_cell_angle_alpha 90.00
_cell_angle_beta 90.00
_cell_angle_gamma 120.00
loop_
_atom_site_label
_atom_site_type_symbol
_atom_site_fract_x
_atom_site_fract_y
_atom_site_fract_z
_atom_site_occupancy
K1 K 0.0000 0.0000 0.0000 1
K2 K 0.0000 0.0000 0.5000 1
Ir1 Ir 0.3333 0.6667 0.2246 1
Ru1 Ru 0.6667 0.3333 0.2759 1
```